1.
{
  "formula": "Tb2PmGeN4",
  "functional": "PBE",
  "state": "optimized geometry",
  "volume_a3_per_fu": 118.9,
  "lattice": [[1.774, -5.732, 0.000], [1.774, 5.732, 0.000], [0.000, 0.000, 11.689]],
  "species": ["Tb", "Tb", "Tb", "Tb", "Pm", "Pm", "Ge", "Ge", "N", "N", "N", "N", "N", "N", "N", "N"],
  "fractional_positions": [[0.130, 0.870, 0.544], [0.130, 0.870, 0.956], [0.870, 0.130, 0.044], [0.870, 0.130, 0.456], [0.400, 0.600, 0.750], [0.600, 0.400, 0.250], [0.338, 0.662, 0.250], [0.662, 0.338, 0.750], [0.076, 0.924, 0.750], [0.230, 0.770, 0.128], [0.230, 0.770, 0.372], [0.500, 0.500, 0.000], [0.500, 0.500, 0.500], [0.770, 0.230, 0.628], [0.770, 0.230, 0.872], [0.924, 0.076, 0.250]]
}

=====

2.
{
  "formula": "Pm2TcGeN5",
  "functional": "PBE",
  "state": "optimized geometry",
  "volume_a3_per_fu": 116.0,
  "lattice": [[1.642, -7.044, 0.000], [1.642, 7.044, 0.000], [0.000, 0.000, 10.034]],
  "species": ["Pm", "Pm", "Pm", "Pm", "Tc", "Tc", "Ge", "Ge", "N", "N", "N", "N", "N", "N", "N", "N", "N", "N"],
  "fractional_positions": [[0.111, 0.889, 0.500], [0.135, 0.865, 0.086], [0.865, 0.135, 0.586], [0.889, 0.111, 0.000], [0.230, 0.770, 0.814], [0.770, 0.230, 0.314], [0.450, 0.550, 0.260], [0.550, 0.450, 0.760], [0.047, 0.953, 0.856], [0.287, 0.713, 0.438], [0.316, 0.684, 0.186], [0.356, 0.644, 0.808], [0.496, 0.504, 0.593], [0.504, 0.496, 0.093], [0.644, 0.356, 0.308], [0.684, 0.316, 0.686], [0.713, 0.287, 0.938], [0.953, 0.047, 0.356]]
}

=====

3.
{
  "formula": "Pm8Ge3Te4N",
  "functional": "PBE",
  "state": "optimized geometry",
  "volume_a3_per_fu": 451.6,
  "lattice": [[7.344, -4.237, 0.000], [7.344, 4.237, 0.000], [-4.898, 0.000, 7.257]],
  "species": ["Pm", "Pm", "Pm", "Pm", "Pm", "Pm", "Pm", "Pm", "Ge", "Ge", "Ge", "Te", "Te", "Te", "Te", "N"],
  "fractional_positions": [[0.226, 0.757, 0.708], [0.228, 0.228, 0.711], [0.243, 0.774, 0.292], [0.258, 0.258, 0.273], [0.742, 0.742, 0.727], [0.757, 0.226, 0.708], [0.772, 0.772, 0.289], [0.774, 0.243, 0.292], [0.000, 0.500, 0.500], [0.500, 0.000, 0.500], [0.500, 0.500, 0.500], [0.000, 0.000, 0.000], [0.000, 0.500, 0.000], [0.500, 0.000, 0.000], [0.500, 0.500, 0.000], [0.000, 0.000, 0.500]]
}

=====

4.
{
  "formula": "Pm2TiGeN5",
  "functional": "PBE",
  "state": "optimized geometry",
  "volume_a3_per_fu": 115.3,
  "lattice": [[1.636, -7.031, 0.000], [1.636, 7.031, 0.000], [0.000, 0.000, 10.024]],
  "species": ["Pm", "Pm", "Pm", "Pm", "Ti", "Ti", "Ge", "Ge", "N", "N", "N", "N", "N", "N", "N", "N", "N", "N"],
  "fractional_positions": [[0.114, 0.886, 0.500], [0.130, 0.870, 0.116], [0.870, 0.130, 0.616], [0.886, 0.114, 0.000], [0.220, 0.780, 0.828], [0.780, 0.220, 0.328], [0.447, 0.553, 0.271], [0.553, 0.447, 0.771], [0.050, 0.950, 0.869], [0.288, 0.712, 0.462], [0.317, 0.683, 0.197], [0.352, 0.648, 0.816], [0.500, 0.500, 0.103], [0.500, 0.500, 0.603], [0.648, 0.352, 0.316], [0.683, 0.317, 0.697], [0.712, 0.288, 0.962], [0.950, 0.050, 0.369]]
}

=====

5.
{
  "formula": "Pm2UGeN5",
  "functional": "PBE",
  "state": "optimized geometry",
  "volume_a3_per_fu": 128.2,
  "lattice": [[1.723, -7.184, 0.000], [1.723, 7.184, 0.000], [0.000, 0.000, 10.355]],
  "species": ["Pm", "Pm", "Pm", "Pm", "U", "U", "Ge", "Ge", "N", "N", "N", "N", "N", "N", "N", "N", "N", "N"],
  "fractional_positions": [[0.107, 0.893, 0.500], [0.128, 0.872, 0.139], [0.872, 0.128, 0.639], [0.893, 0.107, 0.000], [0.207, 0.793, 0.842], [0.793, 0.207, 0.342], [0.457, 0.543, 0.263], [0.543, 0.457, 0.763], [0.043, 0.957, 0.855], [0.287, 0.713, 0.478], [0.320, 0.680, 0.203], [0.353, 0.647, 0.825], [0.493, 0.507, 0.600], [0.507, 0.493, 0.100], [0.647, 0.353, 0.325], [0.680, 0.320, 0.703], [0.713, 0.287, 0.978], [0.957, 0.043, 0.355]]
}

=====

6.
{
  "formula": "Pm2GeWN5",
  "functional": "PBE",
  "state": "optimized geometry",
  "volume_a3_per_fu": 116.6,
  "lattice": [[1.610, -7.098, 0.000], [1.610, 7.098, 0.000], [0.000, 0.000, 10.203]],
  "species": ["Pm", "Pm", "Pm", "Pm", "Ge", "Ge", "W", "W", "N", "N", "N", "N", "N", "N", "N", "N", "N", "N"],
  "fractional_positions": [[0.112, 0.888, 0.500], [0.134, 0.866, 0.096], [0.866, 0.134, 0.596], [0.888, 0.112, 0.000], [0.454, 0.546, 0.259], [0.546, 0.454, 0.759], [0.224, 0.776, 0.818], [0.776, 0.224, 0.318], [0.049, 0.951, 0.856], [0.287, 0.713, 0.451], [0.316, 0.684, 0.185], [0.353, 0.647, 0.808], [0.497, 0.503, 0.593], [0.503, 0.497, 0.093], [0.647, 0.353, 0.308], [0.684, 0.316, 0.685], [0.713, 0.287, 0.951], [0.951, 0.049, 0.356]]
}

=====

7.
{
  "formula": "PmY2GeN4",
  "functional": "PBE",
  "state": "optimized geometry",
  "volume_a3_per_fu": 117.9,
  "lattice": [[1.769, -5.716, 0.000], [1.769, 5.716, 0.000], [0.000, 0.000, 11.658]],
  "species": ["Pm", "Pm", "Y", "Y", "Y", "Y", "Ge", "Ge", "N", "N", "N", "N", "N", "N", "N", "N"],
  "fractional_positions": [[0.100, 0.900, 0.750], [0.900, 0.100, 0.250], [0.370, 0.630, 0.543], [0.370, 0.630, 0.957], [0.630, 0.370, 0.043], [0.630, 0.370, 0.457], [0.162, 0.838, 0.250], [0.838, 0.162, 0.750], [0.000, 0.000, 0.000], [0.000, 0.000, 0.500], [0.270, 0.730, 0.127], [0.270, 0.730, 0.373], [0.424, 0.576, 0.750], [0.576, 0.424, 0.250], [0.730, 0.270, 0.627], [0.730, 0.270, 0.873]]
}

=====

8.
{
  "formula": "PmZn2GeN4",
  "functional": "PBE",
  "state": "optimized geometry",
  "volume_a3_per_fu": 108.1,
  "lattice": [[7.255, 0.000, 0.000], [0.000, 5.548, 0.000], [0.000, 0.000, 5.372]],
  "species": ["Pm", "Pm", "Zn", "Zn", "Zn", "Zn", "Ge", "Ge", "N", "N", "N", "N", "N", "N", "N", "N"],
  "fractional_positions": [[0.000, 0.202, 0.000], [0.500, 0.798, 0.500], [0.249, 0.317, 0.513], [0.251, 0.683, 0.013], [0.749, 0.683, 0.013], [0.751, 0.317, 0.513], [0.000, 0.808, 0.521], [0.500, 0.192, 0.021], [0.000, 0.142, 0.447], [0.000, 0.789, 0.872], [0.208, 0.660, 0.387], [0.292, 0.340, 0.887], [0.500, 0.211, 0.372], [0.500, 0.858, 0.947], [0.708, 0.340, 0.887], [0.792, 0.660, 0.387]]
}

=====

9.
{
  "formula": "Pr3GeN5",
  "functional": "PBE",
  "state": "optimized geometry",
  "volume_a3_per_fu": 134.0,
  "lattice": [[-3.417, 3.417, 5.739], [3.417, -3.417, 5.739], [3.417, 3.417, -5.739]],
  "species": ["Pr", "Pr", "Pr", "Pr", "Pr", "Pr", "Ge", "Ge", "N", "N", "N", "N", "N", "N", "N", "N", "N", "N"],
  "fractional_positions": [[0.176, 0.676, 0.851], [0.250, 0.250, 0.000], [0.324, 0.176, 0.500], [0.676, 0.824, 0.500], [0.750, 0.750, 0.000], [0.824, 0.324, 0.149], [0.250, 0.750, 0.500], [0.750, 0.250, 0.500], [0.000, 0.000, 0.000], [0.002, 0.204, 0.500], [0.204, 0.704, 0.203], [0.296, 0.498, 0.500], [0.498, 0.998, 0.203], [0.500, 0.500, 0.000], [0.502, 0.002, 0.797], [0.704, 0.502, 0.500], [0.796, 0.296, 0.797], [0.998, 0.796, 0.500]]
}

=====

10.
{
  "formula": "Pr5Ge2N",
  "functional": "PBE",
  "state": "optimized geometry",
  "volume_a3_per_fu": 243.3,
  "lattice": [[2.929, -6.235, 0.000], [2.929, 6.235, 0.000], [0.000, 0.000, 13.322]],
  "species": ["Pr", "Pr", "Pr", "Pr", "Pr", "Pr", "Pr", "Pr", "Pr", "Pr", "Ge", "Ge", "Ge", "Ge", "N", "N"],
  "fractional_positions": [[0.057, 0.943, 0.628], [0.057, 0.943, 0.872], [0.300, 0.700, 0.250], [0.338, 0.662, 0.606], [0.338, 0.662, 0.894], [0.662, 0.338, 0.106], [0.662, 0.338, 0.394], [0.700, 0.300, 0.750], [0.943, 0.057, 0.128], [0.943, 0.057, 0.372], [0.176, 0.824, 0.067], [0.176, 0.824, 0.433], [0.824, 0.176, 0.567], [0.824, 0.176, 0.933], [0.211, 0.789, 0.750], [0.789, 0.211, 0.250]]
}

=====

11.
{
  "formula": "Pr3GeN",
  "functional": "PBE",
  "state": "optimized geometry",
  "volume_a3_per_fu": 122.6,
  "lattice": [[1.931, -6.374, 0.000], [1.931, 6.374, 0.000], [0.000, 0.000, 9.958]],
  "species": ["Pr", "Pr", "Pr", "Pr", "Pr", "Pr", "Ge", "Ge", "N", "N"],
  "fractional_positions": [[0.057, 0.943, 0.750], [0.372, 0.628, 0.552], [0.372, 0.628, 0.948], [0.628, 0.372, 0.052], [0.628, 0.372, 0.448], [0.943, 0.057, 0.250], [0.255, 0.745, 0.250], [0.745, 0.255, 0.750], [0.000, 0.000, 0.000], [0.000, 0.000, 0.500]]
}

=====

12.
{
  "formula": "Pr4Ge2N",
  "functional": "PBE",
  "state": "optimized geometry",
  "volume_a3_per_fu": 174.9,
  "polymorph_energy_mev_per_atom": 0,
  "lattice": [[12.265, 0.000, 0.000], [0.000, 4.070, 0.000], [-4.866, 0.000, 7.008]],
  "species": ["Pr", "Pr", "Pr", "Pr", "Pr", "Pr", "Pr", "Pr", "Ge", "Ge", "Ge", "Ge", "N", "N"],
  "fractional_positions": [[0.080, 0.000, 0.342], [0.159, 0.500, 0.077], [0.341, 0.000, 0.923], [0.420, 0.500, 0.658], [0.580, 0.500, 0.342], [0.659, 0.000, 0.077], [0.841, 0.500, 0.923], [0.920, 0.000, 0.658], [0.114, 0.500, 0.663], [0.386, 0.000, 0.337], [0.614, 0.000, 0.663], [0.886, 0.500, 0.337], [0.000, 0.000, 0.000], [0.500, 0.500, 0.000]]
}

=====

13.
{
  "formula": "Pr2GeN3",
  "functional": "PBE",
  "state": "optimized geometry",
  "volume_a3_per_fu": 92.5,
  "lattice": [[2.795, -5.536, 0.000], [2.795, 5.536, 0.000], [-0.657, 0.000, 11.952]],
  "species": ["Pr", "Pr", "Pr", "Pr", "Pr", "Pr", "Pr", "Pr", "Ge", "Ge", "Ge", "Ge", "N", "N", "N", "N", "N", "N", "N", "N", "N", "N", "N", "N"],
  "fractional_positions": [[0.035, 0.434, 0.854], [0.120, 0.345, 0.429], [0.345, 0.120, 0.929], [0.434, 0.035, 0.354], [0.566, 0.965, 0.646], [0.655, 0.880, 0.071], [0.880, 0.655, 0.571], [0.965, 0.566, 0.146], [0.269, 0.270, 0.164], [0.270, 0.269, 0.664], [0.730, 0.731, 0.336], [0.731, 0.730, 0.836], [0.018, 0.982, 0.250], [0.123, 0.323, 0.038], [0.150, 0.480, 0.633], [0.323, 0.123, 0.538], [0.405, 0.595, 0.250], [0.480, 0.150, 0.133], [0.520, 0.850, 0.867], [0.595, 0.405, 0.750], [0.677, 0.877, 0.462], [0.850, 0.520, 0.367], [0.877, 0.677, 0.962], [0.982, 0.018, 0.750]]
}

=====

14.
{
  "formula": "Pr3Ge5N12",
  "functional": "PBE",
  "state": "optimized geometry",
  "volume_a3_per_fu": 262.4,
  "lattice": [[-6.402, 6.402, 6.402], [6.402, -6.402, 6.402], [6.402, 6.402, -6.402]],
  "species": ["Pr", "Pr", "Pr", "Pr", "Pr", "Pr", "Pr", "Pr", "Pr", "Pr", "Pr", "Pr", "Ge", "Ge", "Ge", "Ge", "Ge", "Ge", "Ge", "Ge", "Ge", "Ge", "Ge", "Ge", "Ge", "Ge", "Ge", "Ge", "Ge", "Ge", "Ge", "Ge", "N", "N", "N", "N", "N", "N", "N", "N", "N", "N", "N", "N", "N", "N", "N", "N", "N", "N", "N", "N", "N", "N", "N", "N", "N", "N", "N", "N", "N", "N", "N", "N", "N", "N", "N", "N", "N", "N", "N", "N", "N", "N", "N", "N", "N", "N", "N", "N"],
  "fractional_positions": [[0.125, 0.250, 0.375], [0.125, 0.375, 0.750], [0.250, 0.375, 0.125], [0.250, 0.875, 0.625], [0.375, 0.125, 0.250], [0.375, 0.750, 0.125], [0.625, 0.250, 0.875], [0.625, 0.875, 0.750], [0.750, 0.125, 0.375], [0.750, 0.625, 0.875], [0.875, 0.625, 0.250], [0.875, 0.750, 0.625], [0.000, 0.000, 0.000], [0.000, 0.000, 0.500], [0.000, 0.500, 0.000], [0.000, 0.500, 0.500], [0.125, 0.750, 0.875], [0.125, 0.875, 0.250], [0.250, 0.125, 0.875], [0.250, 0.625, 0.375], [0.375, 0.250, 0.625], [0.375, 0.625, 0.750], [0.500, 0.000, 0.000], [0.500, 0.000, 0.500], [0.500, 0.500, 0.000], [0.500, 0.500, 0.500], [0.625, 0.375, 0.250], [0.625, 0.750, 0.375], [0.750, 0.375, 0.625], [0.750, 0.875, 0.125], [0.875, 0.125, 0.750], [0.875, 0.250, 0.125], [0.017, 0.197, 0.114], [0.017, 0.320, 0.903], [0.083, 0.697, 0.680], [0.083, 0.886, 0.403], [0.097, 0.614, 0.417], [0.097, 0.983, 0.680], [0.114, 0.017, 0.197], [0.114, 0.597, 0.917], [0.180, 0.197, 0.583], [0.180, 0.483, 0.597], [0.197, 0.114, 0.017], [0.197, 0.583, 0.180], [0.303, 0.320, 0.917], [0.303, 0.483, 0.386], [0.320, 0.903, 0.017], [0.320, 0.917, 0.303], [0.386, 0.303, 0.483], [0.386, 0.583, 0.903], [0.403, 0.083, 0.886], [0.403, 0.820, 0.517], [0.417, 0.097, 0.614], [0.417, 0.820, 0.803], [0.483, 0.386, 0.303], [0.483, 0.597, 0.180], [0.517, 0.403, 0.820], [0.517, 0.614, 0.697], [0.583, 0.180, 0.197], [0.583, 0.903, 0.386], [0.597, 0.180, 0.483], [0.597, 0.917, 0.114], [0.614, 0.417, 0.097], [0.614, 0.697, 0.517], [0.680, 0.083, 0.697], [0.680, 0.097, 0.983], [0.697, 0.517, 0.614], [0.697, 0.680, 0.083], [0.803, 0.417, 0.820], [0.803, 0.886, 0.983], [0.820, 0.517, 0.403], [0.820, 0.803, 0.417], [0.886, 0.403, 0.083], [0.886, 0.983, 0.803], [0.903, 0.017, 0.320], [0.903, 0.386, 0.583], [0.917, 0.114, 0.597], [0.917, 0.303, 0.320], [0.983, 0.680, 0.097], [0.983, 0.803, 0.886]]
}

=====

15.
{
  "formula": "PrGeN",
  "functional": "PBE",
  "state": "optimized geometry",
  "volume_a3_per_fu": 64.8,
  "lattice": [[4.100, 0.000, 0.000], [-0.887, 4.003, 0.000], [-1.599, -1.991, 7.903]],
  "species": ["Pr", "Pr", "Ge", "Ge", "N", "N"],
  "fractional_positions": [[0.171, 0.170, 0.341], [0.829, 0.830, 0.659], [0.310, 0.690, 0.000], [0.690, 0.310, 0.000], [0.250, 0.750, 0.500], [0.750, 0.250, 0.500]]
}

=====

16.
{
  "formula": "Pr3GeN",
  "functional": "PBE",
  "state": "optimized geometry",
  "volume_a3_per_fu": 131.1,
  "lattice": [[4.954, 0.000, 0.000], [0.000, 4.990, 0.000], [-2.479, 0.000, 10.603]],
  "species": ["Pr", "Pr", "Pr", "Pr", "Pr", "Pr", "Ge", "Ge", "N", "N"],
  "fractional_positions": [[0.059, 0.250, 0.117], [0.192, 0.750, 0.385], [0.425, 0.250, 0.849], [0.575, 0.750, 0.151], [0.808, 0.250, 0.615], [0.941, 0.750, 0.883], [0.336, 0.750, 0.673], [0.664, 0.250, 0.327], [0.070, 0.750, 0.140], [0.930, 0.250, 0.860]]
}

=====

| no. | total magnetic moment (μB/f.u.) | E_form (uncorrected) (eV/f.u.) | electronic total energy (eV per atom) |
| --- | --- | --- | --- |
| 1 | 0.0 | -8.44 | -7.546 |
| 2 | 0.0 | -5.56 | -7.963 |
| 3 | 0.0 | -19.31 | -5.754 |
| 4 | 0.0 | -8.13 | -7.974 |
| 5 | 0.7 | -9.09 | -8.458 |
| 6 | 0.0 | -6.93 | -8.403 |
| 7 | 0.0 | -8.48 | -8.010 |
| 8 | 0.9 | -2.19 | -5.926 |
| 9 | 1.9 | -6.06 | -7.405 |
| 10 | 0.0 | -4.23 | -5.710 |
| 11 | 0.4 | -4.30 | -6.316 |
| 12 | 0.0 | -5.79 | -6.066 |
| 13 | 0.0 | -4.76 | -7.319 |
| 14 | 7.0 | 2.15 | -6.759 |
| 15 | 0.0 | -1.49 | -6.404 |
| 16 | 0.0 | -3.93 | -6.242 |